A plane-wave DFT calculation with PBE with a Hubbard U was carried out for an optimized crystal structure of W2AuO2.

Calculated values
DOS(E_F)	0.58	states/eV per atom
polymorph energy (0 for the lowest one)	0.1389	eV per atom
M_tot	3.6	μB/f.u.
space-group type	P4/mbm

Cell: 7.189 7.189 2.712 Å, 90.00 90.00 90.00°
Fractional positions:
1 W 0.144 0.356 0.000
2 W 0.356 0.856 0.000
3 W 0.644 0.144 0.000
4 W 0.856 0.644 0.000
5 Au 0.000 0.000 0.500
6 Au 0.500 0.500 0.500
7 O 0.113 0.613 0.500
8 O 0.387 0.113 0.500
9 O 0.613 0.887 0.500
10 O 0.887 0.387 0.500